Here is crystalline TbHo2Er12 at its relaxed geometry from the Alexandria database. Energies are from PBE.

Unit cell a=3.5809 b=5.5993 c=23.1875 alpha=90.00 beta=94.14 gamma=90.00
Positions (direct):
Tb 0.0000 0.0000 0.0000
Ho 0.1408 0.0000 0.2850
Ho 0.8592 0.0000 0.7150
Er 0.0928 0.5000 0.1931
Er 0.2196 0.5000 0.4427
Er 0.2896 0.0000 0.5751
Er 0.3410 0.5000 0.6778
Er 0.4264 0.0000 0.8527
Er 0.4716 0.5000 0.9329
Er 0.5284 0.5000 0.0671
Er 0.5736 0.0000 0.1473
Er 0.6590 0.5000 0.3222
Er 0.7104 0.0000 0.4249
Er 0.7804 0.5000 0.5573
Er 0.9072 0.5000 0.8069

The value obtained for the formation energy is 0.07 eV/atom. The calculation puts the total energy at -4.496 eV/atom. The value obtained for the volume is 30.91 A^3/atom.